1.
DFT (GGA-PBE) results for a relaxed SrAc12Sn6 crystal.

The structure belongs to space group R-3m (No. 166, hexagonal axes); the cell edges are 15.3428, 15.3428 and 12.3227 Å and the angles 90.00°, 90.00° and 120.00°. Symmetry generates all atoms from Sr at (0.0000, 0.0000, 0.0000), Ac at (0.0000, 0.3754, 0.5000), Ac at (0.0903, 0.1805, 0.3562) and Sn at (0.0353, 0.5176, 0.2713).

The total DFT energy (no corrections) comes out at -4.29 eV per atom.

2.
DFT (GGA-PBE) results for a relaxed Tl2CrCo crystal.

The structure belongs to space group I-4m2 (No. 119); the cell edges are 4.0463, 4.0463 and 9.2057 Å and the angles 90.00°, 90.00° and 90.00°. Symmetry generates all atoms from Tl at (0.0000, 0.0000, 0.0000), Tl at (0.0000, 0.5000, 0.2500), Cr at (0.0000, 0.0000, 0.5000) and Co at (0.0000, 0.5000, 0.7500).

The total DFT energy (no corrections) comes out at -4.68 eV per atom. Its polymorph energy (0 for the lowest one) is 170 meV/atom.

3.
DFT (GGA-PBE) results for a relaxed DyHoAs crystal.

The structure belongs to space group P1 (No. 1); the cell edges are 3.9012, 3.9472 and 12.7573 Å and the angles 90.91°, 98.00° and 118.63°. Symmetry generates all atoms from Dy at (0.0000, 0.0000, 0.0000), Dy at (0.4977, 0.2313, 0.7341), Ho at (0.9996, 0.4986, 0.4992), Ho at (0.4986, 0.7305, 0.2351), As at (0.2491, 0.1145, 0.3672) and As at (0.2488, 0.6158, 0.8671).

The total DFT energy (no corrections) comes out at -5.51 eV per atom. Its polymorph energy (0 for the lowest one) is 0 meV/atom.

4.
DFT (GGA-PBE) results for a relaxed K3AcPm2Te6 crystal.

The structure belongs to space group C2/m (No. 12); the cell edges are 8.1051, 14.0407 and 8.6948 Å and the angles 90.00°, 108.14° and 90.00°. Symmetry generates all atoms from K at (0.0000, 0.0000, 0.0000), K at (0.0000, 0.3359, 0.0000), Ac at (0.0000, 0.5000, 0.5000), Pm at (0.0000, 0.1670, 0.5000), Te at (0.2263, 0.0000, 0.7160) and Te at (0.2450, 0.3272, 0.7163).

The total DFT energy (no corrections) comes out at -4.42 eV per atom. For the formation energy from raw total energies, the calculation gives -1.439 eV per atom.

5.
DFT (GGA-PBE) results for a relaxed SrGa2OsO8 crystal.

The structure belongs to space group P-1 (No. 2); the cell edges are 4.6036, 4.7801 and 6.6052 Å and the angles 89.93°, 89.91° and 88.50°. Symmetry generates all atoms from Sr at (0.0000, 0.0000, 0.0000), Ga at (0.4996, 0.4997, 0.2557), Os at (0.0000, 0.0000, 0.5000), O at (0.2325, 0.8230, 0.6982), O at (0.2331, 0.8235, 0.3016), O at (0.2662, 0.3130, 0.4998) and O at (0.2887, 0.4018, 0.0000).

The total DFT energy (no corrections) comes out at -6.30 eV per atom. For the formation energy from raw total energies, the calculation gives -1.415 eV per atom.

6.
DFT (GGA-PBE) results for a relaxed Tl15Bi2Au2 crystal.

The structure belongs to space group R-3m (No. 166, hexagonal axes); the cell edges are 10.1134, 10.1134 and 21.9229 Å and the angles 90.00°, 90.00° and 120.00°. Symmetry generates all atoms from Tl at (0.0000, 0.3107, 0.0000), Tl at (0.0000, 0.5000, 0.5000), Tl at (0.0579, 0.5290, 0.1172), Bi at (0.0000, 0.0000, 0.3331) and Au at (0.0000, 0.0000, 0.2023).

The total DFT energy (no corrections) comes out at -2.51 eV per atom.